Entry 1:
A geometry-optimized K2ZnSe structure. Source: Alexandria, functional PBE.

Raw formation energy, meV/atom: -467
SG: I-4m2, No. 119
Size of the total moment, μB/atom: 0.000

```
data_K2ZnSe
_chemical_formula_sum 'K2 Zn1 Se1'
_symmetry_space_group_name_H-M 'P 1'
_symmetry_Int_Tables_number 1
_symmetry_space_group_name_Hall 'P 1'
_cell_length_a 6.273
_cell_length_b 6.273
_cell_length_c 6.273
_cell_angle_alpha 134.31
_cell_angle_beta 134.31
_cell_angle_gamma 66.60
loop_
_atom_site_label
_atom_site_type_symbol
_atom_site_fract_x
_atom_site_fract_y
_atom_site_fract_z
K1 K 0.000 0.000 0.000
K2 K 0.750 0.250 0.500
Zn1 Zn 0.500 0.500 0.000
Se1 Se 0.250 0.750 0.500
```

Entry 2:
A geometry-optimized PmB4Ru4 structure. Source: Alexandria, functional PBE.

Energy of formation, kJ/mol of formula units: -368
SG: P4_2/nmc, No. 137
Size of the total moment, μB/atom: 0.000

```
data_PmB4Ru4
_chemical_formula_sum 'Pm2 B8 Ru8'
_symmetry_space_group_name_H-M 'P 1'
_symmetry_Int_Tables_number 1
_symmetry_space_group_name_Hall 'P 1'
_cell_length_a 5.395
_cell_length_b 5.395
_cell_length_c 7.413
_cell_angle_alpha 90.00
_cell_angle_beta 90.00
_cell_angle_gamma 90.00
loop_
_atom_site_label
_atom_site_type_symbol
_atom_site_fract_x
_atom_site_fract_y
_atom_site_fract_z
Pm1 Pm 0.250 0.750 0.250
Pm2 Pm 0.750 0.250 0.750
B1 B 0.078 0.250 0.099
B2 B 0.250 0.078 0.599
B3 B 0.250 0.422 0.599
B4 B 0.422 0.250 0.099
B5 B 0.578 0.750 0.901
B6 B 0.750 0.578 0.401
B7 B 0.750 0.922 0.401
B8 B 0.922 0.750 0.901
Ru1 Ru 0.005 0.750 0.612
Ru2 Ru 0.250 0.505 0.888
Ru3 Ru 0.250 0.995 0.888
Ru4 Ru 0.495 0.750 0.612
Ru5 Ru 0.505 0.250 0.388
Ru6 Ru 0.750 0.005 0.112
Ru7 Ru 0.750 0.495 0.112
Ru8 Ru 0.995 0.250 0.388
```

Entry 3:
A geometry-optimized Rb2Pd2Au structure. Source: Alexandria, functional PBE.

Energy of formation, kJ/mol of formula units: 10
SG: P4/mbm, No. 127
Size of the total moment, μB/atom: 0.000

```
data_Rb2Pd2Au
_chemical_formula_sum 'Rb4 Pd4 Au2'
_symmetry_space_group_name_H-M 'P 1'
_symmetry_Int_Tables_number 1
_symmetry_space_group_name_Hall 'P 1'
_cell_length_a 7.068
_cell_length_b 7.068
_cell_length_c 5.401
_cell_angle_alpha 90.00
_cell_angle_beta 90.00
_cell_angle_gamma 90.00
loop_
_atom_site_label
_atom_site_type_symbol
_atom_site_fract_x
_atom_site_fract_y
_atom_site_fract_z
Rb1 Rb 0.181 0.319 0.000
Rb2 Rb 0.319 0.819 0.000
Rb3 Rb 0.681 0.181 0.000
Rb4 Rb 0.819 0.681 0.000
Pd1 Pd 0.134 0.634 0.500
Pd2 Pd 0.366 0.134 0.500
Pd3 Pd 0.634 0.866 0.500
Pd4 Pd 0.866 0.366 0.500
Au1 Au 0.000 0.000 0.500
Au2 Au 0.500 0.500 0.500
```

Entry 4:
A geometry-optimized Ge2HIr structure. Source: Alexandria, functional PBE.

SG: Fm-3m, No. 225
Size of the total moment, μB/atom: 0.000
E_tot, Ry per atom: -0.36972

```
data_Ge2HIr
_chemical_formula_sum 'Ge2 H1 Ir1'
_symmetry_space_group_name_H-M 'P 1'
_symmetry_Int_Tables_number 1
_symmetry_space_group_name_Hall 'P 1'
_cell_length_a 4.253
_cell_length_b 4.253
_cell_length_c 4.253
_cell_angle_alpha 60.00
_cell_angle_beta 60.00
_cell_angle_gamma 60.00
loop_
_atom_site_label
_atom_site_type_symbol
_atom_site_fract_x
_atom_site_fract_y
_atom_site_fract_z
Ge1 Ge 0.250 0.250 0.250
Ge2 Ge 0.750 0.750 0.750
H1 H 0.000 0.000 0.000
Ir1 Ir 0.500 0.500 0.500
```

Entry 5:
A geometry-optimized Zn3BiH structure. Source: Alexandria, functional PBE.

SG: Pm-3m, No. 221
Size of the total moment, μB/atom: 0.000
E_tot, Ry per atom: -0.13864

```
data_Zn3BiH
_chemical_formula_sum 'Zn3 Bi1 H1'
_symmetry_space_group_name_H-M 'P 1'
_symmetry_Int_Tables_number 1
_symmetry_space_group_name_Hall 'P 1'
_cell_length_a 4.388
_cell_length_b 4.388
_cell_length_c 4.388
_cell_angle_alpha 90.00
_cell_angle_beta 90.00
_cell_angle_gamma 90.00
loop_
_atom_site_label
_atom_site_type_symbol
_atom_site_fract_x
_atom_site_fract_y
_atom_site_fract_z
Zn1 Zn 0.000 0.000 0.500
Zn2 Zn 0.000 0.500 0.000
Zn3 Zn 0.500 0.000 0.000
Bi1 Bi 0.500 0.500 0.500
H1 H 0.000 0.000 0.000
```

What did the third record say?
A geometry-optimized Rb2Pd2Au structure. Source: Alexandria, functional PBE.

Energy of formation, kJ/mol of formula units: 10
SG: P4/mbm, No. 127
Size of the total moment, μB/atom: 0.000

```
data_Rb2Pd2Au
_chemical_formula_sum 'Rb4 Pd4 Au2'
_symmetry_space_group_name_H-M 'P 1'
_symmetry_Int_Tables_number 1
_symmetry_space_group_name_Hall 'P 1'
_cell_length_a 7.068
_cell_length_b 7.068
_cell_length_c 5.401
_cell_angle_alpha 90.00
_cell_angle_beta 90.00
_cell_angle_gamma 90.00
loop_
_atom_site_label
_atom_site_type_symbol
_atom_site_fract_x
_atom_site_fract_y
_atom_site_fract_z
Rb1 Rb 0.181 0.319 0.000
Rb2 Rb 0.319 0.819 0.000
Rb3 Rb 0.681 0.181 0.000
Rb4 Rb 0.819 0.681 0.000
Pd1 Pd 0.134 0.634 0.500
Pd2 Pd 0.366 0.134 0.500
Pd3 Pd 0.634 0.866 0.500
Pd4 Pd 0.866 0.366 0.500
Au1 Au 0.000 0.000 0.500
Au2 Au 0.500 0.500 0.500
```